Entry 1:
A plane-wave DFT calculation with PBE-GGA was carried out for a relaxed structure of AgPbS2O6.

Values from the calculation:
E_form (uncorrected) ... -10.13 eV/f.u.
Symmetry ... C2/c

```
data_AgPbS2O6
_chemical_formula_sum 'Ag2 Pb2 S4 O12'
_cell_length_a 6.987
_cell_length_b 6.987
_cell_length_c 8.524
_cell_angle_alpha 108.66
_cell_angle_beta 108.66
_cell_angle_gamma 107.92
_symmetry_space_group_name_H-M 'P 1'
_symmetry_Int_Tables_number 1
loop_
_symmetry_equiv_pos_as_xyz
'x,y,z'
loop_
_atom_site_label
_atom_site_type_symbol
_atom_site_fract_x
_atom_site_fract_y
_atom_site_fract_z
_atom_site_occupancy
Ag1 Ag 0.155 0.845 0.250 1
Ag2 Ag 0.845 0.155 0.750 1
Pb1 Pb 0.546 0.454 0.250 1
Pb2 Pb 0.454 0.546 0.750 1
S1 S 0.325 0.022 0.728 1
S2 S 0.978 0.675 0.772 1
S3 S 0.675 0.978 0.272 1
S4 S 0.022 0.325 0.228 1
O1 O 0.939 0.506 0.259 1
O2 O 0.494 0.061 0.241 1
O3 O 0.061 0.494 0.741 1
O4 O 0.506 0.939 0.759 1
O5 O 0.076 0.293 0.064 1
O6 O 0.707 0.924 0.436 1
O7 O 0.924 0.707 0.936 1
O8 O 0.293 0.076 0.564 1
O9 O 0.250 0.416 0.394 1
O10 O 0.584 0.750 0.106 1
O11 O 0.750 0.584 0.606 1
O12 O 0.416 0.250 0.894 1
```

***

Entry 2:
A plane-wave DFT calculation with PBE-GGA was carried out for a relaxed structure of Sc4AgPbO.

Values from the calculation:
E_form (uncorrected) ... -7.26 eV/f.u.
Symmetry ... Cmcm

```
data_Sc4AgPbO
_chemical_formula_sum 'Sc8 Ag2 Pb2 O2'
_cell_length_a 6.151
_cell_length_b 6.150
_cell_length_c 8.090
_cell_angle_alpha 90.00
_cell_angle_beta 112.35
_cell_angle_gamma 90.00
_symmetry_space_group_name_H-M 'P 1'
_symmetry_Int_Tables_number 1
loop_
_symmetry_equiv_pos_as_xyz
'x,y,z'
loop_
_atom_site_label
_atom_site_type_symbol
_atom_site_fract_x
_atom_site_fract_y
_atom_site_fract_z
_atom_site_occupancy
Sc1 Sc 0.927 0.250 0.854 1
Sc2 Sc 0.409 0.750 0.818 1
Sc3 Sc 0.073 0.750 0.146 1
Sc4 Sc 0.591 0.250 0.182 1
Sc5 Sc 0.500 0.500 0.500 1
Sc6 Sc 0.000 0.000 0.500 1
Sc7 Sc 0.500 0.000 0.500 1
Sc8 Sc 0.000 0.500 0.500 1
Ag1 Ag 0.117 0.250 0.234 1
Ag2 Ag 0.883 0.750 0.766 1
Pb1 Pb 0.606 0.750 0.211 1
Pb2 Pb 0.394 0.250 0.789 1
O1 O 0.252 0.750 0.505 1
O2 O 0.748 0.250 0.495 1
```

***

- What is the E_form (uncorrected) in the second record?
  -7.26 eV/f.u.

***

- Which value of E_form (uncorrected) does entry 2 give?
  -7.26 eV/f.u.

***

- The lowest E_form (uncorrected) belongs to which entry?
  AgPbS2O6

***

- Which formula does entry 2 have?
  Sc4AgPbO